No. 1
Below is an optimized crystal structure of VZn2F, with properties calculated at the GGA+U level.

a = 7.324 Å, b = 7.324 Å, c = 4.684 Å
α = 90.00°, β = 90.00°, γ = 90.00°
Space group I-42d (No. 122)
Inequivalent atoms, fractional coordinates:
V: 0.000 0.000 0.000 x4
Zn: 0.209 0.250 0.625 x8
F: 0.000 0.000 0.500 x4

Results
- Total magnetic moment: 3.384 μB per formula unit
- Volume: 251 Å³/cell
- Polymorph energy (0 for the lowest one): 0.00 eV per formula unit



No. 2
Below is an optimized crystal structure of VZnF3, with properties calculated at the GGA+U level.

a = 4.094 Å, b = 4.094 Å, c = 4.094 Å
α = 90.00°, β = 90.00°, γ = 90.00°
Space group Pm-3m (No. 221)
Inequivalent atoms, fractional coordinates:
V: 0.000 0.000 0.000 x1
Zn: 0.500 0.500 0.500 x1
F: 0.000 0.500 0.500 x3

Results
- Total magnetic moment: 3.816 μB per formula unit
- Volume: 69 Å³/cell
- Polymorph energy (0 for the lowest one): 2.50 eV per formula unit



Q: Which of these has the lowest volume?
A: VZnF3